--- w ---
NaNCl3 | meta-GGA SCAN | single point on PBEsol structure

The volume comes out at 145.3 Å³/cell. The value obtained for the density of states at the Fermi level is 9.85 states/eV/cell. As for the total magnetic moment: 5.108 μB/f.u.

It has space group Pm-3m (No. 221), with a = 5.258 Å, b = 5.258 Å, c = 5.258 Å, α = 90.00°, β = 90.00° and γ = 90.00°. The distinct sites, in fractional coordinates, are Na at (0.000, 0.000, 0.000), N at (0.500, 0.500, 0.500) and Cl at (0.000, 0.000, 0.500).


--- x ---
NaNCl3 | meta-GGA SCAN | single point on PBEsol structure

The volume comes out at 88.1 Å³/cell. The value obtained for the density of states at the Fermi level is 1.14 states/eV/cell. As for the total magnetic moment: 0.498 μB/f.u.

It has space group Pm-3m (No. 221), with a = 4.449 Å, b = 4.449 Å, c = 4.449 Å, α = 90.00°, β = 90.00° and γ = 90.00°. The distinct sites, in fractional coordinates, are Na at (0.000, 0.000, 0.000), N at (0.500, 0.500, 0.500) and Cl at (0.000, 0.500, 0.500).


Least stable = w


--- w ---
NaZr2SN2Cl | meta-GGA SCAN | single point on PBEsol structure

The volume comes out at 452.5 Å³/cell. The value obtained for the density of states at the Fermi level is 0.00 states/eV/cell. As for the total magnetic moment: 0.000 μB/f.u.

It has space group P2_1/c (No. 14), with a = 10.091 Å, b = 7.252 Å, c = 6.316 Å, α = 90.00°, β = 101.75° and γ = 90.00°. The distinct sites, in fractional coordinates, are Na at (0.007, 0.124, 0.262), Zr at (0.368, 0.133, 0.028), Zr at (0.373, 0.619, 0.054), S at (0.191, 0.123, 0.647), N at (0.412, 0.633, 0.402), N at (0.413, 0.115, 0.373) and Cl at (0.174, 0.630, 0.638).


--- x ---
NaZr2SN2Cl | meta-GGA SCAN | single point on PBEsol structure

The volume comes out at 341.9 Å³/cell. The value obtained for the density of states at the Fermi level is 0.00 states/eV/cell. As for the total magnetic moment: 0.000 μB/f.u.

It has space group R3m (No. 160, hexagonal axes), with a = 3.6338 Å, b = 3.6338 Å, c = 29.9009 Å, α = 90.00°, β = 90.00° and γ = 120.00°. The distinct sites, in fractional coordinates, are Na at (0.0000, 0.0000, 0.0000), Zr at (0.0000, 0.0000, 0.2193), Zr at (0.0000, 0.0000, 0.7996), S at (0.0000, 0.0000, 0.6093), N at (0.0000, 0.0000, 0.1428), N at (0.0000, 0.0000, 0.8679) and Cl at (0.0000, 0.0000, 0.3980).


Least stable = x